V2Pd2Br | GGA-PBE | relaxed

Cell: 7.2866 7.2866 3.2385 Å, 90.00 90.00 90.00°
Last column: nearest neighbours and their distance in Å.
Positions (direct):
V 0.1619 0.3381 0.0000  6 Pd 2.68-2.69, 2 Br 2.73
V 0.3381 0.8381 0.0000  6 Pd 2.68-2.69, 2 Br 2.73
V 0.6619 0.1619 0.0000  6 Pd 2.68-2.69, 2 Br 2.73
V 0.8381 0.6619 0.0000  6 Pd 2.68-2.69, 2 Br 2.73
Pd 0.1305 0.6305 0.5000  6 V 2.68-2.69, 1 Pd 2.69
Pd 0.3695 0.1305 0.5000  6 V 2.68-2.69, 1 Pd 2.69
Pd 0.6305 0.8695 0.5000  6 V 2.68-2.69, 1 Pd 2.69
Pd 0.8695 0.3695 0.5000  6 V 2.68-2.69, 1 Pd 2.69
Br 0.0000 0.0000 0.0000  4 V 2.73
Br 0.5000 0.5000 0.0000  4 V 2.73

* formation energy (no corrections): 0.21 eV per atom
* calculated volume: 17.19 Å³/atom
* excess energy over the best structure of this formula in the dataset: 0 meV/atom
* E_tot: -58.536 eV for the cell shown
* total magnetization: 8.44 Bohr magnetons per cell